# Ag6SnTe4 (GGA-PBE, optimized geometry)
# - Final energy: -136.6 eV/cell
# - Total magnetization: 0.000 μB per cell
# - V: 1149.3 Å³ per cell
# - Formation energy (no corrections): -0.04 eV per atom
data_Ag6SnTe4
_symmetry_space_group_name_H-M 'F m m 2'
_symmetry_Int_Tables_number 42
_symmetry_space_group_name_Hall 'F 2 -2'
_cell_length_a 9.813
_cell_length_b 10.842
_cell_length_c 10.803
_cell_angle_alpha 90.00
_cell_angle_beta 90.00
_cell_angle_gamma 90.00
loop_
_atom_site_label
_atom_site_fract_x
_atom_site_fract_y
_atom_site_fract_z
Ag1 0.000 0.141 0.000
Ag2 0.148 0.000 0.224
Ag3 0.250 0.250 0.116
Sn1 0.000 0.000 0.651
Te1 0.000 0.234 0.264
Te2 0.245 0.000 0.472